{"formula": "ZrTaInCo", "functional": "GGA-PBE", "state": "relaxed", "cell": [[0.0000, 3.3081, 3.3081], [3.3081, 0.0000, 3.3081], [3.3081, 3.3081, 0.0000]], "species": ["Zr", "Ta", "In", "Co"], "fractional_positions": [[0.0000, 0.0000, 0.0000], [0.2500, 0.2500, 0.2500], [0.5000, 0.5000, 0.5000], [0.7500, 0.7500, 0.7500]], "mass_density_g_cm3": 10.227, "magmom_total_mub_per_cell": 3.00, "e_above_lowest_polymorph_mev_per_atom": 0}